10
Lattice="-1.719 -1.697 5.890 -5.529 -2.210 -2.250 1.659 -3.590 -0.550" Properties=species:S:1:pos:R:3 comment="Ni2Hg2Ir | Alexandria via LeMat-Bulk | PBE | optimized geometry" e_above_lowest_polymorph_mev_per_atom=0 e_form_ev_per_atom=0.4103 pbc="T T T"
Ni -5.458 -2.557 0.227
Ni -4.973 -2.868 3.719
Ni -1.790 -1.350 3.412
Ni -2.275 -1.039 -0.080
Ir 0.000 0.000 0.000
Ir -3.624 -1.953 1.820
Hg -3.216 -3.590 -0.757
Hg -4.886 -4.763 1.858
Hg -2.373 -3.906 3.847
Hg -0.703 -2.734 1.232

4
Lattice="-1.784 1.922 1.258 -1.063 -2.311 -1.411 0.264 -5.170 8.272" Properties=species:S:1:pos:R:3 comment="NiHg2Ir | Alexandria via LeMat-Bulk | PBE | optimized geometry" e_above_lowest_polymorph_mev_per_atom=148 e_form_ev_per_atom=0.4685 pbc="T T T"
Hg 0.255 -5.004 8.006
Hg -1.352 -1.590 2.157
Ir 0.139 -2.733 4.373
Ni -1.230 -3.987 5.992

4
Lattice="-0.841 1.668 2.632 2.278 -1.504 1.681 6.483 3.106 0.102" Properties=species:S:1:pos:R:3 comment="NiHg2Ir | Alexandria via LeMat-Bulk | PBE | optimized geometry" e_above_lowest_polymorph_mev_per_atom=99 e_form_ev_per_atom=0.4188 pbc="T T T"
Hg 6.425 3.041 0.124
Hg 4.438 0.865 0.869
Ir 1.770 1.235 1.761
Ni 6.150 2.036 2.653

4
Lattice="-4.696 1.193 -2.980 -0.464 -1.396 -5.495 0.677 -1.534 5.436" Properties=species:S:1:pos:R:3 comment="NiHg2Ir | Alexandria via LeMat-Bulk | PBE | optimized geometry" e_above_lowest_polymorph_mev_per_atom=90 e_form_ev_per_atom=0.4101 pbc="T T T"
Hg -0.115 -0.005 -0.189
Hg -3.236 -0.219 -0.786
Ir -2.434 -0.096 -3.997
Ni -1.279 -1.520 -2.304

3
Lattice="5.956 -0.019 0.000 4.574 3.815 0.000 -5.265 -1.898 2.038" Properties=species:S:1:pos:R:3 comment="NiHgIr | Alexandria via LeMat-Bulk | PBE | optimized geometry" e_above_lowest_polymorph_mev_per_atom=0 e_form_ev_per_atom=0.3143 pbc="T T T"
Hg 0.066 0.024 0.000
Ir 3.303 1.191 0.000
Ni 7.161 2.581 0.000